No. 1
! Ag2SnPd4, optimized geometry, DFT PBE-GGA; values from VASP
&SYSTEM
  ibrav = 0, nat = 7, ntyp = 3
/
ATOMIC_SPECIES
Pd 106.42 Pd.upf
Ag 107.87 Ag.upf
Sn 118.71 Sn.upf
CELL_PARAMETERS angstrom
-1.960 3.558 -3.715
-0.045 -4.996 -2.309
-3.171 0.374 4.483
ATOMIC_POSITIONS crystal
Pd 0.500 0.500 0.500
Pd 0.500 0.000 0.000
Pd 0.000 0.000 0.500
Pd 0.000 0.500 0.000
Ag 0.500 0.000 0.500
Sn 0.000 0.000 0.000
Ag 0.500 0.500 0.000
! E (eV per atom): -4.47


No. 2
! Ag2SnPd4, optimized geometry, DFT PBE-GGA; values from VASP
&SYSTEM
  ibrav = 0, nat = 7, ntyp = 3
/
ATOMIC_SPECIES
Sn 118.71 Sn.upf
Pd 106.42 Pd.upf
Ag 107.87 Ag.upf
CELL_PARAMETERS angstrom
4.509 0.000 0.000
2.254 3.904 0.000
2.254 1.301 7.306
ATOMIC_POSITIONS crystal
Sn 0.000 0.000 0.000
Pd 0.124 0.124 0.628
Ag 0.246 0.246 0.263
Ag 0.754 0.754 0.737
Pd 0.375 0.375 0.876
Pd 0.625 0.625 0.124
Pd 0.876 0.876 0.372
! E (eV per atom): -4.43


How do the records compare in excess energy over the best structure of this formula in the dataset? In the order shown, they have 0.000; 0.041 eV/atom.